No. 1
PaRu3O8: optimized geometry, PBE.

abc: 6.5950 3.9415 11.7962
angles: 90.00 90.00 90.00
Space group Amm2 (No. 38)
Symmetry-distinct sites (fractional):
Pa (0.0000, 0.0000, 0.0000) (multiplicity 2)
Ru (0.0000, 0.0000, 0.7073) (multiplicity 2)
Ru (0.5000, 0.0000, 0.5458) (multiplicity 2)
Ru (0.5000, 0.0000, 0.8482) (multiplicity 2)
O (0.0000, 0.0000, 0.1907) (multiplicity 2)
O (0.1847, 0.0000, 0.5503) (multiplicity 4)
O (0.1897, 0.0000, 0.8498) (multiplicity 4)
O (0.5000, 0.0000, 0.0183) (multiplicity 2)
O (0.5000, 0.0000, 0.3778) (multiplicity 2)
O (0.5000, 0.0000, 0.6970) (multiplicity 2)

## Properties
crystal system = orthorhombic
total moment = 0.320 μB/f.u.
final energy = -7.964 eV per atom


No. 2
PaRuO6: optimized geometry, PBE.

abc: 8.5016 5.2318 10.2203
angles: 90.00 96.84 90.00
Space group C2/c (No. 15)
Symmetry-distinct sites (fractional):
Pa (0.0000, 0.1221, 0.2500) (multiplicity 4)
Ru (0.2500, 0.2500, 0.5000) (multiplicity 4)
O (0.0722, 0.4049, 0.3974) (multiplicity 8)
O (0.1124, 0.0735, 0.5983) (multiplicity 8)
O (0.2165, 0.0096, 0.8642) (multiplicity 8)

## Properties
crystal system = monoclinic
total moment = 0.564 μB/f.u.
final energy = -7.768 eV per atom


No. 3
Sc2PaRuO8: optimized geometry, PBE.

abc: 6.7933 6.9343 6.5387
angles: 90.00 90.00 90.00
Space group Cmmm (No. 65)
Symmetry-distinct sites (fractional):
Sc (0.0000, 0.0000, 0.2388) (multiplicity 4)
Pa (0.0000, 0.5000, 0.5000) (multiplicity 2)
Ru (0.0000, 0.5000, 0.0000) (multiplicity 2)
O (0.0000, 0.3090, 0.2278) (multiplicity 8)
O (0.1899, 0.0000, 0.5000) (multiplicity 4)
O (0.2090, 0.0000, 0.0000) (multiplicity 4)

## Properties
crystal system = orthorhombic
total moment = 3.005 μB/f.u.
final energy = -8.657 eV per atom


No. 4
ScPaRuO6: optimized geometry, PBE.

abc: 5.3739 5.3739 9.2500
angles: 90.00 90.00 120.00
Space group P-31c (No. 163)
Symmetry-distinct sites (fractional):
Sc (0.0000, 0.0000, 0.0000) (multiplicity 2)
Pa (0.3333, 0.6667, 0.2500) (multiplicity 2)
Ru (0.3333, 0.6667, 0.7500) (multiplicity 2)
O (0.0248, 0.3462, 0.6294) (multiplicity 12)

## Properties
crystal system = trigonal
total moment = 2.009 μB/f.u.
final energy = -8.664 eV per atom


Question: Which of these has the lowest total moment?
Answer: PaRu3O8